LiCe2H6Ru (PBE, optimized geometry); spin magnetization = 2.98 μB per formula unit; calculated total energy = -46.6 eV per cell
1.0
5.074 0.000 0.000
-2.537 4.394 0.000
0.000 0.000 4.931
Li Ce H Ru
1 2 6 1
direct
0.000 0.000 0.000
0.333 0.667 0.266
0.667 0.333 0.734
0.164 0.327 0.721
0.164 0.836 0.721
0.327 0.164 0.279
0.673 0.836 0.721
0.836 0.164 0.279
0.836 0.673 0.279
0.000 0.000 0.500

LiCeSbH (PBE, optimized geometry); spin magnetization = 1.00 μB per formula unit; calculated total energy = -18.4 eV per cell
1.0
4.448 0.000 0.000
-2.224 3.852 0.000
0.000 0.000 4.278
Li Ce Sb H
1 1 1 1
direct
0.000 0.000 0.000
0.333 0.667 0.500
0.667 0.333 0.000
0.000 0.000 0.500

Sr2Li3CeH12 (PBE, optimized geometry); spin magnetization = 0.00 μB per formula unit; calculated total energy = -60.3 eV per cell
1.0
3.234 1.867 5.364
-3.234 1.867 5.364
0.000 -3.735 5.364
Sr Li Ce H
2 3 1 12
direct
0.109 0.109 0.109
0.891 0.891 0.891
0.000 0.500 0.500
0.500 0.000 0.500
0.500 0.500 0.000
0.500 0.500 0.500
0.077 0.642 0.642
0.255 0.255 0.648
0.255 0.648 0.255
0.352 0.745 0.745
0.358 0.358 0.923
0.358 0.923 0.358
0.642 0.077 0.642
0.642 0.642 0.077
0.648 0.255 0.255
0.745 0.352 0.745
0.745 0.745 0.352
0.923 0.358 0.358

LiCeTcH6 (PBE, optimized geometry); spin magnetization = 0.27 μB per formula unit; calculated total energy = -40.7 eV per cell
1.0
4.563 0.000 0.000
-2.282 3.952 0.000
0.000 0.000 4.463
Li Ce Tc H
1 1 1 6
direct
0.000 0.000 0.000
0.333 0.667 0.500
0.667 0.333 0.000
0.351 0.175 0.270
0.351 0.175 0.730
0.825 0.175 0.270
0.825 0.175 0.730
0.825 0.649 0.270
0.825 0.649 0.730

LiCeZnH6 (PBE, optimized geometry); spin magnetization = 0.67 μB per formula unit; calculated total energy = -30.7 eV per cell
1.0
4.409 0.000 0.000
-2.205 3.819 0.000
0.000 0.000 4.496
Li Ce Zn H
1 1 1 6
direct
0.000 0.000 0.000
0.667 0.333 0.500
0.333 0.667 0.000
0.166 0.331 0.286
0.166 0.331 0.714
0.166 0.834 0.286
0.166 0.834 0.714
0.669 0.834 0.286
0.669 0.834 0.714

Ce2LuH (PBE, optimized geometry); spin magnetization = 0.84 μB per formula unit; calculated total energy = -19.5 eV per cell; excess energy over the best structure of this formula in the dataset = 147 meV per atom
1.0
3.231 0.000 0.000
0.000 3.231 0.000
0.000 0.000 8.375
Ce Lu H
2 1 1
direct
0.000 0.000 0.166
0.000 0.000 0.834
0.500 0.500 0.500
0.500 0.500 0.000

Ce2LuH (PBE, optimized geometry); spin magnetization = 1.47 μB per formula unit; calculated total energy = -60.2 eV per cell; excess energy over the best structure of this formula in the dataset = 0 meV per atom
1.0
3.414 0.000 0.000
-1.707 2.956 0.000
0.000 0.000 26.631
Ce Lu H
6 3 3
direct
0.000 0.000 0.224
0.000 0.000 0.776
0.333 0.667 0.443
0.333 0.667 0.891
0.667 0.333 0.109
0.667 0.333 0.557
0.000 0.000 0.000
0.333 0.667 0.667
0.667 0.333 0.333
0.000 0.000 0.500
0.333 0.667 0.167
0.667 0.333 0.833

Ce3Lu5H12 (PBE, optimized geometry); spin magnetization = 0.78 μB per formula unit; calculated total energy = -357.8 eV per cell
1.0
-6.467 6.467 6.467
6.467 -6.467 6.467
6.467 6.467 -6.467
Ce Lu H
12 20 48
direct
0.125 0.250 0.375
0.125 0.375 0.750
0.250 0.375 0.125
0.250 0.875 0.625
0.375 0.125 0.250
0.375 0.750 0.125
0.625 0.250 0.875
0.625 0.875 0.750
0.750 0.125 0.375
0.750 0.625 0.875
0.875 0.625 0.250
0.875 0.750 0.625
0.000 0.000 0.000
0.000 0.000 0.500
0.000 0.500 0.000
0.000 0.500 0.500
0.125 0.750 0.875
0.125 0.875 0.250
0.250 0.125 0.875
0.250 0.625 0.375
0.375 0.250 0.625
0.375 0.625 0.750
0.500 0.000 0.000
0.500 0.000 0.500
0.500 0.500 0.000
0.500 0.500 0.500
0.625 0.375 0.250
0.625 0.750 0.375
0.750 0.375 0.625
0.750 0.875 0.125
0.875 0.125 0.750
0.875 0.250 0.125
0.061 0.221 0.144
0.061 0.340 0.917
0.077 0.721 0.660
0.077 0.856 0.417
0.083 0.644 0.423
0.083 0.939 0.660
0.144 0.061 0.221
0.144 0.583 0.923
0.160 0.221 0.577
0.160 0.439 0.583
0.221 0.144 0.061
0.221 0.577 0.160
0.279 0.340 0.923
0.279 0.439 0.356
0.340 0.917 0.061
0.340 0.923 0.279
0.356 0.279 0.439
0.356 0.577 0.917
0.417 0.077 0.856
0.417 0.840 0.561
0.423 0.083 0.644
0.423 0.840 0.779
0.439 0.356 0.279
0.439 0.583 0.160
0.561 0.417 0.840
0.561 0.644 0.721
0.577 0.160 0.221
0.577 0.917 0.356
0.583 0.160 0.439
0.583 0.923 0.144
0.644 0.423 0.083
0.644 0.721 0.561
0.660 0.077 0.721
0.660 0.083 0.939
0.721 0.561 0.644
0.721 0.660 0.077
0.779 0.423 0.840
0.779 0.856 0.939
0.840 0.561 0.417
0.840 0.779 0.423
0.856 0.417 0.077
0.856 0.939 0.779
0.917 0.061 0.340
0.917 0.356 0.577
0.923 0.144 0.583
0.923 0.279 0.340
0.939 0.660 0.083
0.939 0.779 0.856

CeMg2H6 (PBE, optimized geometry); spin magnetization = 0.84 μB per formula unit; calculated total energy = -30.9 eV per cell; excess energy over the best structure of this formula in the dataset = 0 meV per atom
1.0
4.693 0.000 0.000
-2.346 4.064 0.000
0.000 0.000 4.789
Ce Mg H
1 2 6
direct
0.000 0.000 0.000
0.333 0.667 0.500
0.667 0.333 0.500
0.000 0.493 0.784
0.000 0.507 0.216
0.493 0.000 0.784
0.493 0.493 0.216
0.507 0.000 0.216
0.507 0.507 0.784

CeMgH (PBE, optimized geometry); spin magnetization = 1.13 μB per formula unit; calculated total energy = -21.7 eV per cell; excess energy over the best structure of this formula in the dataset = 254 meV per atom
1.0
3.205 0.000 0.000
0.000 3.205 0.000
0.000 0.000 12.136
Ce Mg H
2 2 2
direct
0.000 0.000 0.000
0.500 0.500 0.500
0.000 0.000 0.284
0.500 0.500 0.784
0.000 0.000 0.540
0.500 0.500 0.040

Ce2MgH6 (PBE, optimized geometry); spin magnetization = 1.97 μB per formula unit; calculated total energy = -37.2 eV per cell
1.0
-1.854 2.588 5.538
1.854 -2.588 5.538
1.854 2.588 -5.538
Ce Mg H
2 1 6
direct
0.161 0.161 0.000
0.839 0.839 0.000
0.500 0.500 0.000
0.104 0.339 0.764
0.274 0.000 0.274
0.425 0.661 0.764
0.575 0.339 0.236
0.726 0.000 0.726
0.896 0.661 0.236

CeMgH (PBE, optimized geometry); spin magnetization = 0.58 μB per formula unit; calculated total energy = -11.2 eV per cell; excess energy over the best structure of this formula in the dataset = 122 meV per atom
1.0
3.245 0.000 0.000
-1.622 2.810 0.000
0.000 0.000 5.855
Ce Mg H
1 1 1
direct
0.000 0.000 0.000
0.333 0.667 0.494
0.667 0.333 0.243

CeMgH (PBE, optimized geometry); spin magnetization = 1.14 μB per formula unit; calculated total energy = -23.2 eV per cell; excess energy over the best structure of this formula in the dataset = 0 meV per atom
1.0
3.366 0.000 0.000
0.000 3.366 0.000
0.000 0.000 9.851
Ce Mg H
2 2 2
direct
0.250 0.250 0.142
0.750 0.750 0.858
0.250 0.250 0.601
0.750 0.750 0.399
0.250 0.250 0.901
0.750 0.750 0.099

CeMg2H6 (PBE, optimized geometry); spin magnetization = 0.00 μB per formula unit; calculated total energy = -25.6 eV per cell; excess energy over the best structure of this formula in the dataset = 586 meV per atom
1.0
0.000 3.828 3.828
3.828 0.000 3.828
3.828 3.828 0.000
Ce Mg H
1 2 6
direct
0.000 0.000 0.000
0.250 0.250 0.250
0.750 0.750 0.750
0.280 0.280 0.720
0.280 0.720 0.280
0.280 0.720 0.720
0.720 0.280 0.280
0.720 0.280 0.720
0.720 0.720 0.280

CeMgH3 (PBE, optimized geometry); spin magnetization = 0.92 μB per formula unit; calculated total energy = -38.4 eV per cell
1.0
2.105 -6.412 0.000
2.105 6.412 0.000
0.000 0.000 4.334
Ce Mg H
2 2 6
direct
0.154 0.846 0.750
0.846 0.154 0.250
0.420 0.580 0.750
0.580 0.420 0.250
0.055 0.945 0.250
0.246 0.754 0.250
0.428 0.572 0.250
0.572 0.428 0.750
0.754 0.246 0.750
0.945 0.055 0.750

Ce6Mg2HN (PBE, optimized geometry); spin magnetization = 6.56 μB per formula unit; calculated total energy = -53.6 eV per cell
1.0
0.000 4.950 4.950
4.950 0.000 4.950
4.950 4.950 0.000
Ce Mg H N
6 2 1 1
direct
0.244 0.244 0.756
0.244 0.756 0.244
0.244 0.756 0.756
0.756 0.244 0.244
0.756 0.244 0.756
0.756 0.756 0.244
0.250 0.250 0.250
0.750 0.750 0.750
0.500 0.500 0.500
0.000 0.000 0.000

CeMg2H8Os (PBE, optimized geometry); spin magnetization = 1.76 μB per formula unit; calculated total energy = -51.2 eV per cell
1.0
4.530 0.000 0.000
-2.265 3.923 0.000
0.000 0.000 6.616
Ce Mg H Os
1 2 8 1
direct
0.000 0.000 0.000
0.333 0.667 0.364
0.667 0.333 0.636
0.168 0.336 0.665
0.168 0.832 0.665
0.333 0.667 0.067
0.336 0.168 0.335
0.664 0.832 0.665
0.667 0.333 0.933
0.832 0.168 0.335
0.832 0.664 0.335
0.000 0.000 0.500

CeMgH6Os (PBE, optimized geometry); spin magnetization = 0.87 μB per formula unit; calculated total energy = -41.6 eV per cell
1.0
4.703 0.000 0.000
-2.352 4.073 0.000
0.000 0.000 4.532
Ce Mg H Os
1 1 6 1
direct
0.000 0.000 0.000
0.333 0.667 0.500
0.520 0.039 0.225
0.520 0.039 0.775
0.520 0.480 0.225
0.520 0.480 0.775
0.961 0.480 0.225
0.961 0.480 0.775
0.667 0.333 0.500

CeMgH6Pd2 (PBE, optimized geometry); spin magnetization = 0.79 μB per formula unit; calculated total energy = -41.3 eV per cell
1.0
2.298 1.327 5.384
-2.298 1.327 5.384
0.000 -2.653 5.384
Ce Mg H Pd
1 1 6 2
direct
0.000 0.000 0.000
0.500 0.500 0.500
0.072 0.555 0.555
0.445 0.445 0.928
0.445 0.928 0.445
0.555 0.072 0.555
0.555 0.555 0.072
0.928 0.445 0.445
0.210 0.210 0.210
0.790 0.790 0.790

CeMgH6Pt2 (PBE, optimized geometry); spin magnetization = 0.99 μB per formula unit; calculated total energy = -44.2 eV per cell
1.0
2.290 1.322 5.498
-2.290 1.322 5.498
0.000 -2.645 5.498
Ce Mg H Pt
1 1 6 2
direct
0.000 0.000 0.000
0.500 0.500 0.500
0.072 0.558 0.558
0.442 0.442 0.928
0.442 0.928 0.442
0.558 0.072 0.558
0.558 0.558 0.072
0.928 0.442 0.442
0.210 0.210 0.210
0.790 0.790 0.790